Entry a
VASP calculation (PBE-GGA) on crystalline Li2Hg2Pd3 at its relaxed geometry.

Its crystal system is triclinic.

It has space group P-1 (No. 2), with a = 4.4264 Å, b = 4.4271 Å, c = 7.5194 Å, α = 89.74°, β = 73.15° and γ = 60.06°. Symmetry generates all atoms from Li at (0.2218, 0.3909, 0.1630), Hg at (0.2594, 0.8685, 0.6122), Pd at (0.0000, 0.0000, 0.0000) and Pd at (0.4715, 0.2619, 0.7969).

Entry b
VASP calculation (PBE-GGA) on crystalline Li2Hg2Pd3 at its relaxed geometry.

Its crystal system is monoclinic.

It has space group C2/m (No. 12), with a = 12.9224 Å, b = 2.9478 Å, c = 6.7076 Å, α = 90.00°, β = 116.04° and γ = 90.00°. Symmetry generates all atoms from Li at (0.0839, 0.0000, 0.4191), Hg at (0.1280, 0.5000, 0.8128), Pd at (0.0000, 0.0000, 0.0000) and Pd at (0.2074, 0.5000, 0.2867).

Top of the stability list: entry a, leading by 0.021 eV/atom.

Entry a
VASP calculation (PBE-GGA) on crystalline Li2HgPd3 at its relaxed geometry.

Its crystal system is orthorhombic.

It has space group Cmmm (No. 65), with a = 4.3533 Å, b = 13.0562 Å, c = 6.4301 Å, α = 90.00°, β = 90.00° and γ = 90.00°. Symmetry generates all atoms from Li at (0.0000, 0.0000, 0.0000), Li at (0.0000, 0.0000, 0.5000), Li at (0.0000, 0.3308, 0.0000), Hg at (0.0000, 0.3391, 0.5000), Pd at (0.0000, 0.1644, 0.2253) and Pd at (0.0000, 0.5000, 0.2206).

Entry b
VASP calculation (PBE-GGA) on crystalline Li2HgPd3 at its relaxed geometry.

Its crystal system is monoclinic.

It has space group C2/m (No. 12), with a = 14.5406 Å, b = 4.1914 Å, c = 6.3529 Å, α = 90.00°, β = 104.42° and γ = 90.00°. Symmetry generates all atoms from Li at (0.0254, 0.0000, 0.3495), Li at (0.2293, 0.5000, 0.1509), Hg at (0.1234, 0.5000, 0.6711), Pd at (0.0565, 0.5000, 0.2044), Pd at (0.1036, 0.0000, 0.9691) and Pd at (0.1935, 0.0000, 0.4134).

Top of the stability list: entry a, leading by 0.091 eV/atom.

Entry a
VASP calculation (PBE-GGA) on crystalline Li4Hg2Pd at its relaxed geometry.

Its crystal system is trigonal.

It has space group R-3m (No. 166, hexagonal axes), with a = 4.6109 Å, b = 4.6109 Å, c = 19.8647 Å, α = 90.00°, β = 90.00° and γ = 120.00°. Symmetry generates all atoms from Li at (0.0000, 0.0000, 0.0930), Li at (0.0000, 0.0000, 0.3689), Hg at (0.0000, 0.0000, 0.2312) and Pd at (0.0000, 0.0000, 0.5000).

Entry b
VASP calculation (PBE-GGA) on crystalline Li4Hg2Pd at its relaxed geometry.

Its crystal system is tetragonal.

It has space group I-42d (No. 122), with a = 7.9201 Å, b = 7.9201 Å, c = 7.8521 Å, α = 90.00°, β = 90.00° and γ = 90.00°. Symmetry generates all atoms from Li at (0.0727, 0.6813, 0.4682), Hg at (0.1133, 0.7500, 0.1250) and Pd at (0.0000, 0.0000, 0.5000).

Top of the stability list: entry a, leading by 0.077 eV/atom.